# 1
A plane-wave DFT calculation with PBE-GGA was carried out for RbLaC3 after structural relaxation.

a b c (Å): 4.4954 4.4954 4.4954
angles (deg): 90.00 90.00 90.00
With the nearest neighbours (Å) after each atom.
Space group Pm-3m (No. 221)
Unique sites:
Rb1 0.0000 0.0000 0.0000 (multiplicity 1)  6 C 2.25
La1 0.5000 0.5000 0.5000 (multiplicity 1)  12 C 3.18
C1 0.0000 0.0000 0.5000 (multiplicity 3)  2 Rb 2.25

Summary:
* calculated volume: 91 Å³/cell
* total magnetization: 0.0 μB per formula unit
* formation energy: 3.08 eV per atom

# 2
A plane-wave DFT calculation with PBE-GGA was carried out for SmSi3Pt after structural relaxation.

a b c (Å): 4.6004 14.0400 5.5831
angles (deg): 90.00 90.00 90.00
With the nearest neighbours (Å) after each atom.
Space group Cmcm (No. 63)
Unique sites:
Sm1 0.0000 0.0903 0.2500 (multiplicity 4)  9 Si 2.84-3.16
Si1 0.0000 0.1269 0.7500 (multiplicity 4)  2 Pt 2.41, 2 Si 2.51
Si2 0.0000 0.2829 0.5286 (multiplicity 8)  4 Si 2.47-2.51, 1 Pt 2.53
Pt1 0.0000 0.4251 0.2500 (multiplicity 4)  4 Si 2.41-2.53

Summary:
* calculated volume: 361 Å³/cell
* uncorrected formation energy: -470 meV per atom
* total magnetization: 0.0 μB per formula unit

# 3
A plane-wave DFT calculation with PBE-GGA was carried out for ZrSc12In3 after structural relaxation.

a b c (Å): 4.5240 4.5240 18.2292
angles (deg): 90.00 90.00 90.00
With the nearest neighbours (Å) after each atom.
Space group P4/mmm (No. 123)
Unique sites:
Zr1 0.0000 0.0000 0.0000 (multiplicity 1)  12 Sc 3.20-3.21
Sc1 0.0000 0.5000 0.1248 (multiplicity 4)  8 Sc 3.20-3.26, 2 Zr 3.21, 2 In 3.24
Sc2 0.0000 0.5000 0.3756 (multiplicity 4)  8 Sc 3.18-3.20, 4 In 3.19-3.20
Sc3 0.5000 0.5000 0.0000 (multiplicity 1)  4 Zr 3.20, 8 Sc 3.21
Sc4 0.5000 0.5000 0.2533 (multiplicity 2)  8 Sc 3.18-3.26, 4 In 3.20
Sc5 0.5000 0.5000 0.5000 (multiplicity 1)  4 In 3.20, 8 Sc 3.20
In1 0.0000 0.0000 0.2521 (multiplicity 2)  12 Sc 3.19-3.24
In2 0.0000 0.0000 0.5000 (multiplicity 1)  12 Sc 3.20

Summary:
* calculated volume: 373 Å³/cell
* total magnetization: 3.3 μB per formula unit
* formation energy: -0.21 eV per atom

# 4
A plane-wave DFT calculation with PBE-GGA was carried out for Pm12Dy6Y after structural relaxation.

a b c (Å): 14.8320 14.8320 10.4294
angles (deg): 90.00 90.00 120.00
With the nearest neighbours (Å) after each atom.
Space group R-3 (No. 148, hexagonal axes)
Unique sites:
Pm1 0.0528 0.7986 0.0792 (multiplicity 18)  5 Dy 3.39-3.68, 3 Pm 3.39-3.59, 1 Y 3.54
Pm2 0.0653 0.8380 0.4194 (multiplicity 18)  3 Dy 3.36-3.59, 6 Pm 3.39-3.59
Dy1 0.0501 0.8379 0.7595 (multiplicity 18)  8 Pm 3.36-3.68
Y1 0.0000 0.0000 0.0000 (multiplicity 3)  6 Pm 3.54, 6 Dy 3.80

Summary:
* calculated volume: 1987 Å³/cell
* total magnetization: 0.0 μB per formula unit
* formation energy: 0.24 eV per atom

# 5
A plane-wave DFT calculation with PBE-GGA was carried out for PrHoPu2Te5 after structural relaxation.

a b c (Å): 5.5020 5.5020 11.8232
angles (deg): 90.00 90.00 90.00
With the nearest neighbours (Å) after each atom.
Space group P4/mmm (No. 123)
Unique sites:
Pr1 0.0000 0.0000 0.0000 (multiplicity 1)  2 Te 2.95
Ho1 0.0000 0.0000 0.5000 (multiplicity 1)  6 Te 2.75-2.96
Pu1 0.5000 0.5000 0.3250 (multiplicity 2)  5 Te 3.44-3.84
Te1 0.0000 0.0000 0.2498 (multiplicity 2)  1 Pr 2.95, 1 Ho 2.96
Te2 0.0000 0.5000 0.5000 (multiplicity 2)  2 Ho 2.75
Te3 0.5000 0.5000 0.0000 (multiplicity 1)  2 Pu 3.84, 4 Pr 3.89

Summary:
* calculated volume: 358 Å³/cell
* uncorrected formation energy: -722 meV per atom
* total magnetization: 11.9 μB per formula unit

# 6
A plane-wave DFT calculation with PBE-GGA was carried out for LiZnCr after structural relaxation.

a b c (Å): 4.6295 2.6755 6.6470
angles (deg): 90.00 94.88 90.00
With the nearest neighbours (Å) after each atom.
Space group P2/m (No. 10)
Unique sites:
Li1 0.0000 0.0000 0.0000 (multiplicity 1)  4 Zn 2.64, 6 Li 2.67-2.68, 2 Cr 2.91
Li2 0.5000 0.5000 0.0000 (multiplicity 1)  2 Zn 2.62, 6 Li 2.67-2.68, 4 Cr 2.90
Zn1 0.1324 0.5000 0.6773 (multiplicity 2)  3 Zn 2.56-2.68, 3 Li 2.62-2.64, 6 Cr 2.66-2.77
Cr1 0.3826 0.0000 0.3712 (multiplicity 2)  1 Cr 1.95

Summary:
* calculated volume: 82 Å³/cell
* total magnetization: 0.0 μB per formula unit
* formation energy: 0.19 eV per atom

# 7
A plane-wave DFT calculation with PBE-GGA was carried out for TaReAsSe2 after structural relaxation.

a b c (Å): 4.9416 4.9416 5.1774
angles (deg): 90.00 90.00 90.00
With the nearest neighbours (Å) after each atom.
Space group P4/mmm (No. 123)
Unique sites:
Ta1 0.0000 0.0000 0.0000 (multiplicity 1)  4 Se 2.47, 2 As 2.59
Re1 0.5000 0.5000 0.5000 (multiplicity 1)  4 As 3.49, 8 Se 3.58
As1 0.0000 0.0000 0.5000 (multiplicity 1)  2 Ta 2.59
Se1 0.0000 0.5000 0.0000 (multiplicity 2)  2 Ta 2.47

Summary:
* calculated volume: 126 Å³/cell
* uncorrected formation energy: 1088 meV per atom
* total magnetization: 5.0 μB per formula unit

# 8
A plane-wave DFT calculation with PBE-GGA was carried out for SiIrOs3 after structural relaxation.

a b c (Å): 4.3248 4.3248 4.3248
angles (deg): 90.00 90.00 90.00
With the nearest neighbours (Å) after each atom.
Space group Pm-3m (No. 221)
Unique sites:
Si1 0.0000 0.0000 0.0000 (multiplicity 1)  6 Os 2.16
Ir1 0.5000 0.5000 0.5000 (multiplicity 1)  12 Os 3.06
Os1 0.0000 0.0000 0.5000 (multiplicity 3)  2 Si 2.16

Summary:
* calculated volume: 81 Å³/cell
* uncorrected formation energy: 1390 meV per atom
* total magnetization: 0.0 μB per formula unit

# 9
A plane-wave DFT calculation with PBE-GGA was carried out for YEr3Sb2 after structural relaxation.

a b c (Å): 18.0873 4.2679 9.6831
angles (deg): 90.00 113.69 90.00
With the nearest neighbours (Å) after each atom.
Space group C2/m (No. 12)
Unique sites:
Y1 0.1097 0.0000 0.1154 (multiplicity 4)  6 Sb 3.16-3.30
Er1 0.0560 0.0000 0.6744 (multiplicity 4)  3 Sb 3.02-3.35, 3 Er 3.16-3.27
Er2 0.1433 0.5000 0.4772 (multiplicity 4)  4 Sb 3.19-3.23
Er3 0.1882 0.5000 0.8921 (multiplicity 4)  3 Sb 3.08-3.17, 4 Er 3.19-3.27
Sb1 0.0095 0.5000 0.8450 (multiplicity 4)  4 Er 3.02-3.23, 1 Sb 3.16, 4 Y 3.16-3.30
Sb2 0.2498 0.0000 0.7198 (multiplicity 4)  7 Er 3.17-3.46, 2 Y 3.21

Summary:
* calculated volume: 684 Å³/cell
* uncorrected formation energy: -672 meV per atom
* total magnetization: 0.0 μB per formula unit

# 10
A plane-wave DFT calculation with PBE-GGA was carried out for Rb2CaSn2Se4 after structural relaxation.

a b c (Å): 18.0119 4.2401 8.8416
angles (deg): 90.00 117.58 90.00
With the nearest neighbours (Å) after each atom.
Space group C2/m (No. 12)
Unique sites:
Rb1 0.1175 0.0000 0.0475 (multiplicity 4)  5 Se 3.39-3.80, 1 Sn 3.64
Ca1 0.0000 0.0000 0.5000 (multiplicity 2)  6 Se 2.98-3.05
Sn1 0.1917 0.5000 0.5462 (multiplicity 4)  3 Se 2.66-2.80
Se1 0.0356 0.5000 0.2947 (multiplicity 4)  1 Sn 2.66
Se2 0.1823 0.0000 0.7430 (multiplicity 4)  2 Sn 2.80, 1 Ca 2.98

Summary:
* calculated volume: 599 Å³/cell
* uncorrected formation energy: -1061 meV per atom
* total magnetization: 0.0 μB per formula unit

# 11
A plane-wave DFT calculation with PBE-GGA was carried out for Sr2AcDyS4 after structural relaxation.

a b c (Å): 7.2315 4.1636 7.3107
angles (deg): 90.00 109.07 90.00
With the nearest neighbours (Å) after each atom.
Space group P2/m (No. 10)
Unique sites:
Sr1 0.0000 0.0000 0.0000 (multiplicity 1)  6 S 3.07
Sr2 0.5000 0.5000 0.0000 (multiplicity 1)  6 S 2.94
Ac1 0.0000 0.5000 0.5000 (multiplicity 1)  6 S 2.99
Dy1 0.5000 0.0000 0.5000 (multiplicity 1)  6 S 2.85-2.86
S1 0.2639 0.0000 0.7449 (multiplicity 2)  1 Dy 2.85, 3 Sr 2.94-3.07, 2 Ac 2.99
S2 0.2689 0.5000 0.2651 (multiplicity 2)  2 Dy 2.86, 3 Sr 2.94-3.07, 1 Ac 2.99

Summary:
* calculated volume: 208 Å³/cell
* uncorrected formation energy: -2015 meV per atom
* total magnetization: 0.0 μB per formula unit

# 12
A plane-wave DFT calculation with PBE-GGA was carried out for DyFeC2 after structural relaxation.

a b c (Å): 3.3645 3.3645 13.5030
angles (deg): 90.00 90.00 120.00
With the nearest neighbours (Å) after each atom.
Space group R-3m (No. 166, hexagonal axes)
Unique sites:
Dy1 0.0000 0.0000 0.0000 (multiplicity 3)  6 C 2.50
Fe1 0.0000 0.0000 0.5000 (multiplicity 3)  6 C 2.06
C1 0.0000 0.0000 0.2172 (multiplicity 6)  3 Fe 2.06

Summary:
* calculated volume: 132 Å³/cell
* total magnetization: 0.1 μB per formula unit
* formation energy: 0.28 eV per atom

# 13
A plane-wave DFT calculation with PBE-GGA was carried out for CsRbTeBr after structural relaxation.

a b c (Å): 8.9206 8.9206 8.9206
angles (deg): 90.00 90.00 90.00
With the nearest neighbours (Å) after each atom.
Space group F-43m (No. 216)
Unique sites:
Cs1 0.0000 0.0000 0.0000 (multiplicity 4)  4 Br 3.86, 4 Te 3.86
Rb1 0.0000 0.0000 0.5000 (multiplicity 4)  4 Br 3.86, 4 Te 3.86
Te1 0.2500 0.2500 0.2500 (multiplicity 4)  4 Rb 3.86, 4 Cs 3.86
Br1 0.2500 0.2500 0.7500 (multiplicity 4)  4 Rb 3.86, 4 Cs 3.86

Summary:
* calculated volume: 710 Å³/cell
* uncorrected formation energy: -1015 meV per atom
* total magnetization: 1.0 μB per formula unit

# 14
A plane-wave DFT calculation with PBE-GGA was carried out for NbCoBOs2 after structural relaxation.

a b c (Å): 4.1142 4.1142 3.8620
angles (deg): 90.00 90.00 90.00
With the nearest neighbours (Å) after each atom.
Space group P4/mmm (No. 123)
Unique sites:
Nb1 0.0000 0.0000 0.0000 (multiplicity 1)  8 Os 2.82, 4 Co 2.91
Co1 0.5000 0.5000 0.0000 (multiplicity 1)  2 B 1.93
B1 0.5000 0.5000 0.5000 (multiplicity 1)  2 Co 1.93, 4 Os 2.06
Os1 0.0000 0.5000 0.5000 (multiplicity 2)  2 B 2.06

Summary:
* calculated volume: 65 Å³/cell
* total magnetization: 0.0 μB per formula unit
* formation energy: -0.10 eV per atom

# 15
A plane-wave DFT calculation with PBE-GGA was carried out for Y2Ta2O after structural relaxation.

a b c (Å): 5.8793 5.8793 5.8770
angles (deg): 90.00 90.00 90.00
With the nearest neighbours (Å) after each atom.
Space group P4/mbm (No. 127)
Unique sites:
Y1 0.1679 0.3321 0.0000 (multiplicity 4)  5 Y 2.79-3.09
Ta1 0.1693 0.6693 0.5000 (multiplicity 4)  2 O 2.18
O1 0.0000 0.0000 0.5000 (multiplicity 2)  4 Ta 2.18

Summary:
* calculated volume: 203 Å³/cell
* uncorrected formation energy: -213 meV per atom
* total magnetization: 0.0 μB per formula unit

# 16
A plane-wave DFT calculation with PBE-GGA was carried out for Sr2Mg12ZnCd3 after structural relaxation.

a b c (Å): 7.5393 7.5393 30.9211
angles (deg): 90.00 90.00 120.00
With the nearest neighbours (Å) after each atom.
Space group R-3m (No. 166, hexagonal axes)
Unique sites:
Sr1 0.0000 0.0000 0.1481 (multiplicity 6)  6 Mg 3.55-3.62
Mg1 0.0491 0.5246 0.1004 (multiplicity 18)  1 Zn 2.76, 2 Mg 3.04
Mg2 0.0697 0.5349 0.6189 (multiplicity 18)  2 Cd 2.85, 4 Mg 2.98-3.04
Zn1 0.0000 0.0000 0.5000 (multiplicity 3)  6 Mg 2.76
Cd1 0.0000 0.5000 0.0000 (multiplicity 9)  6 Mg 2.85-3.12

Summary:
* calculated volume: 1522 Å³/cell
* total magnetization: 0.0 μB per formula unit
* formation energy: 0.10 eV per atom

# 17
A plane-wave DFT calculation with PBE-GGA was carried out for InHg4 after structural relaxation.

a b c (Å): 7.4344 7.4344 4.9161
angles (deg): 90.00 90.00 90.00
With the nearest neighbours (Å) after each atom.
Space group I4/m (No. 87)
Unique sites:
In1 0.0000 0.0000 0.0000 (multiplicity 2)  12 Hg 3.32-3.41
Hg1 0.0995 0.6987 0.5000 (multiplicity 8)  9 Hg 3.30-3.41, 3 In 3.32-3.41

Summary:
* calculated volume: 272 Å³/cell
* total magnetization: 0.0 μB per formula unit
* formation energy: 0.00 eV per atom

# 18
A plane-wave DFT calculation with PBE-GGA was carried out for PrHo2ErSc2 after structural relaxation.

a b c (Å): 6.7755 9.5289 5.4704
angles (deg): 90.00 90.00 90.00
With the nearest neighbours (Å) after each atom.
Space group Pnnm (No. 58)
Unique sites:
Pr1 0.0000 0.0000 0.0000 (multiplicity 2)  2 Er 3.39, 6 Sc 3.59-3.60, 6 Ho 3.59-3.60
Ho1 0.2470 0.3335 0.0000 (multiplicity 4)  5 Sc 3.16-3.41
Er1 0.0000 0.5000 0.5000 (multiplicity 2)  2 Pr 3.39, 6 Ho 3.58-3.61, 6 Sc 3.59-3.60
Sc1 0.2502 0.1669 0.5000 (multiplicity 4)  5 Ho 3.16-3.41

Summary:
* calculated volume: 353 Å³/cell
* total magnetization: 0.0 μB per formula unit
* formation energy: 0.08 eV per atom

# 19
A plane-wave DFT calculation with PBE-GGA was carried out for La4Pr4Al after structural relaxation.

a b c (Å): 6.4672 8.6544 11.4562
angles (deg): 90.00 90.00 90.00
With the nearest neighbours (Å) after each atom.
Space group I222 (No. 23)
Unique sites:
La1 0.0000 0.0000 0.0000 (multiplicity 2)  2 Al 3.23, 4 Pr 3.51
La2 0.0000 0.1667 0.5000 (multiplicity 4)  1 Al 2.88, 1 La 2.89
La3 0.0000 0.5000 0.0000 (multiplicity 2)  4 Pr 3.50, 4 La 3.54
Pr1 0.2229 0.3618 0.7419 (multiplicity 8)  1 Al 3.34, 4 La 3.47-3.55
Al1 0.0000 0.5000 0.5000 (multiplicity 2)  2 La 2.88

Summary:
* calculated volume: 641 Å³/cell
* total magnetization: 0.0 μB per formula unit
* formation energy: 0.15 eV per atom

# 20
A plane-wave DFT calculation with PBE-GGA was carried out for Dy2Br3O after structural relaxation.

a b c (Å): 18.7039 3.9413 11.5510
angles (deg): 90.00 125.99 90.00
With the nearest neighbours (Å) after each atom.
Space group C2/m (No. 12)
Unique sites:
Dy1 0.0683 0.0000 0.4596 (multiplicity 4)  2 O 2.26-2.27
Dy2 0.1322 0.5000 0.7781 (multiplicity 4)  2 O 2.24
Br1 0.0307 0.5000 0.2413 (multiplicity 4)  3 Dy 2.92-2.94
Br2 0.1720 0.0000 0.0091 (multiplicity 4)  3 Dy 2.98-3.04, 1 O 3.26
Br3 0.2114 0.5000 0.6185 (multiplicity 4)  3 Dy 2.94-2.97
O1 0.0811 0.0000 0.6668 (multiplicity 4)  4 Dy 2.24-2.27

Summary:
* calculated volume: 689 Å³/cell
* uncorrected formation energy: -2299 meV per atom
* total magnetization: 0.0 μB per formula unit

# 21
A plane-wave DFT calculation with PBE-GGA was carried out for Mn3NiC after structural relaxation.

a b c (Å): 4.4452 4.4452 4.4452
angles (deg): 90.00 90.00 90.00
With the nearest neighbours (Å) after each atom.
Space group Pm-3m (No. 221)
Unique sites:
Mn1 0.0000 0.0000 0.5000 (multiplicity 3)  2 Ni 2.22
Ni1 0.0000 0.0000 0.0000 (multiplicity 1)  6 Mn 2.22
C1 0.5000 0.5000 0.5000 (multiplicity 1)  12 Mn 3.14

Summary:
* calculated volume: 88 Å³/cell
* total magnetization: 11.9 μB per formula unit
* formation energy: 1.86 eV per atom

# 22
A plane-wave DFT calculation with PBE-GGA was carried out for PRuPt3 after structural relaxation.

a b c (Å): 4.4768 4.4768 4.4768
angles (deg): 90.00 90.00 90.00
With the nearest neighbours (Å) after each atom.
Space group Pm-3m (No. 221)
Unique sites:
P1 0.0000 0.0000 0.0000 (multiplicity 1)  6 Pt 2.24
Ru1 0.5000 0.5000 0.5000 (multiplicity 1)  12 Pt 3.17
Pt1 0.0000 0.0000 0.5000 (multiplicity 3)  2 P 2.24

Summary:
* calculated volume: 90 Å³/cell
* total magnetization: 3.1 μB per formula unit
* formation energy: 0.55 eV per atom

# 23
A plane-wave DFT calculation with PBE-GGA was carried out for KAg5O4 after structural relaxation.

a b c (Å): 6.9130 8.8555 5.8134
angles (deg): 90.00 90.00 90.00
With the nearest neighbours (Å) after each atom.
Space group Pmmn (No. 59, origin choice 2)
Unique sites:
K1 0.2500 0.2500 0.2441 (multiplicity 2)  2 O 2.55
Ag1 0.0506 0.0818 0.7183 (multiplicity 8)  2 O 2.10-2.19
Ag2 0.2500 0.7500 0.7744 (multiplicity 2)  2 O 2.19
O1 0.0278 0.7500 0.0438 (multiplicity 4)  3 Ag 2.10-2.19
O2 0.2500 0.5405 0.4926 (multiplicity 4)  4 Ag 2.19-2.44

Summary:
* calculated volume: 356 Å³/cell
* uncorrected formation energy: -117 meV per atom
* total magnetization: 0.8 μB per formula unit